# GGA-PBE AcP6Rh12, relaxed
# Formation enthalpy at 0 K ... -0.709 eV per atom
# Total DFT energy (no corrections) ... -7.277 eV per atom
data_AcP6Rh12
_cell_length_a 11.0824
_cell_length_b 11.0824
_cell_length_c 8.2690
_cell_angle_alpha 90.00
_cell_angle_beta 90.00
_cell_angle_gamma 120.00
_symmetry_space_group_name_H-M 'R -3 m'
_symmetry_Int_Tables_number 166
_symmetry_space_group_name_Hall '-R 3 2"'
loop_
_atom_site_label
_atom_site_fract_x
_atom_site_fract_y
_atom_site_fract_z
Ac1 0.0000 0.0000 0.0000
P1 0.0505 0.5252 0.2857
Rh1 0.0000 0.3689 0.5000
Rh2 0.0894 0.1788 0.3618



# GGA-PBE KTl2CrSi, relaxed
# Total DFT energy (no corrections) ... -3.350 eV per atom
# Energy relative to the elements, uncorrected ... 0.826 eV per atom
data_KTl2CrSi
_cell_length_a 5.4384
_cell_length_b 5.4384
_cell_length_c 6.1893
_cell_angle_alpha 90.00
_cell_angle_beta 90.00
_cell_angle_gamma 90.00
_symmetry_space_group_name_H-M 'P 4/m m m'
_symmetry_Int_Tables_number 123
_symmetry_space_group_name_Hall '-P 4 2'
loop_
_atom_site_label
_atom_site_fract_x
_atom_site_fract_y
_atom_site_fract_z
K1 0.0000 0.0000 0.0000
Tl1 0.0000 0.5000 0.5000
Cr1 0.5000 0.5000 0.0000
Si1 0.0000 0.0000 0.5000



# GGA-PBE Sm6AgSn3, relaxed
# Formation enthalpy at 0 K ... -0.412 eV per atom
# Total DFT energy (no corrections) ... -4.730 eV per atom
data_Sm6AgSn3
_cell_length_a 6.2655
_cell_length_b 8.8823
_cell_length_c 12.7230
_cell_angle_alpha 90.00
_cell_angle_beta 118.72
_cell_angle_gamma 90.00
_symmetry_space_group_name_H-M 'P 1 21/c 1'
_symmetry_Int_Tables_number 14
loop_
_symmetry_equiv_pos_as_xyz
'x,y,z'
'-x,-y,-z'
'-x,y+1/2,-z+1/2'
'x,-y+1/2,z+1/2'
loop_
_atom_site_label
_atom_site_fract_x
_atom_site_fract_y
_atom_site_fract_z
Sm1 0.0382 0.1771 0.4359
Sm2 0.3254 0.6712 0.4322
Sm3 0.3829 0.0486 0.2443
Ag1 0.0000 0.0000 0.0000
Sn1 0.1499 0.1178 0.7487
Sn2 0.5000 0.0000 0.5000



# GGA-PBE CeIn2Br5, relaxed
# Total DFT energy (no corrections) ... -3.727 eV per atom
# Energy relative to the elements, uncorrected ... -1.255 eV per atom
data_CeIn2Br5
_cell_length_a 13.5524
_cell_length_b 9.2510
_cell_length_c 8.6268
_cell_angle_alpha 90.00
_cell_angle_beta 90.00
_cell_angle_gamma 90.00
_symmetry_space_group_name_H-M 'P n m a'
_symmetry_Int_Tables_number 62
loop_
_symmetry_equiv_pos_as_xyz
'x,y,z'
'-x,-y,-z'
'-x+1/2,-y,z+1/2'
'x+1/2,y,-z+1/2'
'x+1/2,-y+1/2,-z+1/2'
'-x+1/2,y+1/2,z+1/2'
'-x,y+1/2,-z'
'x,-y+1/2,z'
loop_
_atom_site_label
_atom_site_fract_x
_atom_site_fract_y
_atom_site_fract_z
Ce1 0.0046 0.2500 0.0772
In1 0.1738 0.0004 0.5459
Br1 0.0060 0.2500 0.4267
Br2 0.0783 0.5448 0.1661
Br3 0.1838 0.2500 0.8805
Br4 0.2074 0.7500 0.8359



Copy entry 1 word for word.
# GGA-PBE AcP6Rh12, relaxed
# Formation enthalpy at 0 K ... -0.709 eV per atom
# Total DFT energy (no corrections) ... -7.277 eV per atom
data_AcP6Rh12
_cell_length_a 11.0824
_cell_length_b 11.0824
_cell_length_c 8.2690
_cell_angle_alpha 90.00
_cell_angle_beta 90.00
_cell_angle_gamma 120.00
_symmetry_space_group_name_H-M 'R -3 m'
_symmetry_Int_Tables_number 166
_symmetry_space_group_name_Hall '-R 3 2"'
loop_
_atom_site_label
_atom_site_fract_x
_atom_site_fract_y
_atom_site_fract_z
Ac1 0.0000 0.0000 0.0000
P1 0.0505 0.5252 0.2857
Rh1 0.0000 0.3689 0.5000
Rh2 0.0894 0.1788 0.3618



The lowest total DFT energy (no corrections) belongs to which entry? AcP6Rh12